This record from the Alexandria database describes a relaxed CaScAuO4 crystal. The functional is PBE-GGA.

Calculated values
E_form (uncorrected)	-1772	meV/atom
electronic total energy	-0.230	Ha/atom

abc: 6.0061 6.0061 6.6117
angles: 90.00 90.00 117.86
Positions (direct):
Ca 0.0000 0.0000 0.0000
Ca 0.0000 0.0000 0.5000
Sc 0.3394 0.6606 0.7500
Sc 0.6606 0.3394 0.2500
Au 0.3592 0.6408 0.2500
Au 0.6408 0.3592 0.7500
O 0.2279 0.7721 0.0013
O 0.2279 0.7721 0.4987
O 0.2488 0.2916 0.7500
O 0.2916 0.2488 0.2500
O 0.7084 0.7512 0.7500
O 0.7512 0.7084 0.2500
O 0.7721 0.2279 0.5013
O 0.7721 0.2279 0.9987

=====

This record from the Alexandria database describes a relaxed Ca2ScAuO5 crystal. The functional is PBE-GGA.

Calculated values
E_form (uncorrected)	-2210	meV/atom
electronic total energy	-0.238	Ha/atom

abc: 6.6949 6.6949 11.3192
angles: 90.00 90.00 151.43
Positions (direct):
Ca 0.0780 0.9220 0.5000
Ca 0.1513 0.8487 0.1217
Ca 0.8487 0.1513 0.6217
Ca 0.9220 0.0780 0.0000
Sc 0.2284 0.7716 0.8669
Sc 0.7716 0.2284 0.3669
Au 0.4616 0.5384 0.2782
Au 0.5384 0.4616 0.7782
O 0.0808 0.9192 0.9217
O 0.2529 0.7471 0.4925
O 0.3045 0.6955 0.2439
O 0.3865 0.6135 0.8272
O 0.4874 0.5126 0.6064
O 0.5126 0.4874 0.1064
O 0.6135 0.3865 0.3272
O 0.6955 0.3045 0.7439
O 0.7471 0.2529 0.9925
O 0.9192 0.0808 0.4217